[1]
First-principles (PBE) data for a geometry-optimized GdMgAlGa structure, as listed in Alexandria via LeMat-Bulk.

The density of states at the Fermi level is 2.66 states/eV/f.u. The formation energy is -303.7 meV per atom. The total magnetization is 28.51 μB per cell.

It has space group F-43m (No. 216), with a = 6.996 Å, b = 6.996 Å, c = 6.996 Å, α = 90.00°, β = 90.00° and γ = 90.00°. Symmetry generates all atoms from Gd at (0.000, 0.000, 0.000), Mg at (0.000, 0.000, 0.500), Al at (0.250, 0.250, 0.750) and Ga at (0.250, 0.250, 0.250).



[2]
First-principles (PBE) data for a geometry-optimized NdGdAlGa structure, as listed in Alexandria via LeMat-Bulk.

The density of states at the Fermi level is 1.56 states/eV/f.u. The formation energy is -457.9 meV per atom. The total magnetization is 28.24 μB per cell.

It has space group F-43m (No. 216), with a = 7.341 Å, b = 7.341 Å, c = 7.341 Å, α = 90.00°, β = 90.00° and γ = 90.00°. Symmetry generates all atoms from Nd at (0.000, 0.000, 0.000), Gd at (0.000, 0.000, 0.500), Al at (0.250, 0.250, 0.250) and Ga at (0.250, 0.250, 0.750).



[3]
First-principles (PBE) data for a geometry-optimized PmGdAlGa structure, as listed in Alexandria via LeMat-Bulk.

The density of states at the Fermi level is 1.56 states/eV/f.u. The formation energy is -466.3 meV per atom. The total magnetization is 28.24 μB per cell.

It has space group F-43m (No. 216), with a = 7.312 Å, b = 7.312 Å, c = 7.312 Å, α = 90.00°, β = 90.00° and γ = 90.00°. Symmetry generates all atoms from Pm at (0.000, 0.000, 0.000), Gd at (0.000, 0.000, 0.500), Al at (0.250, 0.250, 0.250) and Ga at (0.250, 0.250, 0.750).



[4]
First-principles (PBE) data for a geometry-optimized PrGdAlGa structure, as listed in Alexandria via LeMat-Bulk.

The density of states at the Fermi level is 1.58 states/eV/f.u. The formation energy is -449.4 meV per atom. The total magnetization is 28.24 μB per cell.

It has space group F-43m (No. 216), with a = 7.372 Å, b = 7.372 Å, c = 7.372 Å, α = 90.00°, β = 90.00° and γ = 90.00°. Symmetry generates all atoms from Pr at (0.000, 0.000, 0.000), Gd at (0.000, 0.000, 0.500), Al at (0.250, 0.250, 0.250) and Ga at (0.250, 0.250, 0.750).



[5]
First-principles (PBE) data for a geometry-optimized GdScAlGa structure, as listed in Alexandria via LeMat-Bulk.

The density of states at the Fermi level is 1.74 states/eV/f.u. The formation energy is -477.9 meV per atom. The total magnetization is 28.40 μB per cell.

It has space group F-43m (No. 216), with a = 7.003 Å, b = 7.003 Å, c = 7.003 Å, α = 90.00°, β = 90.00° and γ = 90.00°. Symmetry generates all atoms from Gd at (0.000, 0.000, 0.000), Sc at (0.000, 0.000, 0.500), Al at (0.250, 0.250, 0.250) and Ga at (0.250, 0.250, 0.750).



[6]
First-principles (PBE) data for a geometry-optimized SmGdAlGa structure, as listed in Alexandria via LeMat-Bulk.

The density of states at the Fermi level is 1.59 states/eV/f.u. The formation energy is -469.0 meV per atom. The total magnetization is 28.24 μB per cell.

It has space group F-43m (No. 216), with a = 7.292 Å, b = 7.292 Å, c = 7.292 Å, α = 90.00°, β = 90.00° and γ = 90.00°. Symmetry generates all atoms from Sm at (0.000, 0.000, 0.000), Gd at (0.000, 0.000, 0.500), Al at (0.250, 0.250, 0.750) and Ga at (0.250, 0.250, 0.250).



[7]
First-principles (PBE) data for a geometry-optimized GdThAlGa structure, as listed in Alexandria via LeMat-Bulk.

The density of states at the Fermi level is 3.08 states/eV/f.u. The formation energy is -367.1 meV per atom. The total magnetization is 28.76 μB per cell.

It has space group F-43m (No. 216), with a = 7.352 Å, b = 7.352 Å, c = 7.352 Å, α = 90.00°, β = 90.00° and γ = 90.00°. Symmetry generates all atoms from Gd at (0.000, 0.000, 0.000), Th at (0.000, 0.000, 0.500), Al at (0.250, 0.250, 0.750) and Ga at (0.250, 0.250, 0.250).



[8]
First-principles (PBE) data for a geometry-optimized GdYAlGa structure, as listed in Alexandria via LeMat-Bulk.

The density of states at the Fermi level is 1.68 states/eV/f.u. The formation energy is -490.8 meV per atom. The total magnetization is 28.25 μB per cell.

It has space group F-43m (No. 216), with a = 7.222 Å, b = 7.222 Å, c = 7.222 Å, α = 90.00°, β = 90.00° and γ = 90.00°. Symmetry generates all atoms from Gd at (0.000, 0.000, 0.000), Y at (0.000, 0.000, 0.500), Al at (0.250, 0.250, 0.250) and Ga at (0.250, 0.250, 0.750).



[9]
First-principles (PBE) data for a geometry-optimized GdAlZnGa structure, as listed in Alexandria via LeMat-Bulk.

The density of states at the Fermi level is 2.57 states/eV/f.u. The formation energy is -286.4 meV per atom. The total magnetization is 27.22 μB per cell.

It has space group F-43m (No. 216), with a = 6.777 Å, b = 6.777 Å, c = 6.777 Å, α = 90.00°, β = 90.00° and γ = 90.00°. Symmetry generates all atoms from Gd at (0.000, 0.000, 0.000), Al at (0.000, 0.000, 0.500), Zn at (0.250, 0.250, 0.250) and Ga at (0.250, 0.250, 0.750).



[10]
First-principles (PBE) data for a geometry-optimized GdZrAlGa structure, as listed in Alexandria via LeMat-Bulk.

The density of states at the Fermi level is 3.63 states/eV/f.u. The formation energy is -354.5 meV per atom. The total magnetization is 27.82 μB per cell.

It has space group F-43m (No. 216), with a = 6.996 Å, b = 6.996 Å, c = 6.996 Å, α = 90.00°, β = 90.00° and γ = 90.00°. Symmetry generates all atoms from Gd at (0.000, 0.000, 0.000), Zr at (0.000, 0.000, 0.500), Al at (0.250, 0.250, 0.250) and Ga at (0.250, 0.250, 0.750).



[11]
First-principles (PBE) data for a geometry-optimized Al2Ga2Ge structure, as listed in Alexandria via LeMat-Bulk.

As for the energy above the most stable polymorph in this dataset: 0.000 eV per atom. The density of states at the Fermi level is 2.72 states/eV/f.u. The formation energy is 133.8 meV per atom. The total magnetization is 0.00 μB per cell.

It has space group P4/mbm (No. 127), with a = 7.979 Å, b = 7.979 Å, c = 2.868 Å, α = 90.00°, β = 90.00° and γ = 90.00°. Symmetry generates all atoms from Al at (0.134, 0.366, 0.000), Ga at (0.164, 0.664, 0.500) and Ge at (0.000, 0.000, 0.500).



[12]
First-principles (PBE) data for a geometry-optimized Al2GaGe structure, as listed in Alexandria via LeMat-Bulk.

As for the energy above the most stable polymorph in this dataset: 0.036 eV per atom. The density of states at the Fermi level is 1.21 states/eV/f.u. The formation energy is 130.2 meV per atom. The total magnetization is 0.00 μB per cell.

It has space group P4/mmm (No. 123), with a = 3.279 Å, b = 3.279 Å, c = 6.661 Å, α = 90.00°, β = 90.00° and γ = 90.00°. Symmetry generates all atoms from Al at (0.000, 0.000, 0.240), Ga at (0.500, 0.500, 0.500) and Ge at (0.500, 0.500, 0.000).